Compound: Na2Sn3Au
Source: Alexandria via LeMat-Bulk
Functional: PBE
Structure: relaxed

a = 9.8090 Å, b = 9.8090 Å, c = 7.5559 Å
α = 90.00°, β = 90.00°, γ = 120.00°
Space group P6_3/mmc (No. 194)
Inequivalent atoms, fractional coordinates:
Na 0.0000 0.0000 0.2500
Na 0.0647 0.5323 0.2500
Sn 0.1712 0.3424 0.5520
Au 0.3333 0.6667 0.5415

Computed properties:
total moment: 0.000 Bohr magnetons per cell
excess energy over the best structure of this formula in the dataset: 0 kJ/mol of formula units

=====

Compound: Ac3La4SmTe8
Source: Alexandria via LeMat-Bulk
Functional: PBE
Structure: relaxed

a = 9.2549 Å, b = 9.2549 Å, c = 22.6469 Å
α = 90.00°, β = 90.00°, γ = 120.00°
Space group R-3m (No. 166, hexagonal axes)
Inequivalent atoms, fractional coordinates:
Ac 0.0000 0.5000 0.0000
La 0.0000 0.0000 0.5000
La 0.0000 0.5000 0.5000
Sm 0.0000 0.0000 0.0000
Te 0.0000 0.0000 0.2467
Te 0.0088 0.5044 0.7510

Computed properties:
total moment: 0.000 Bohr magnetons per cell
formation energy from raw total energies: -1520 meV per atom

=====

Compound: Pa4Tc5Ge
Source: Alexandria via LeMat-Bulk
Functional: PBE
Structure: relaxed

a = 8.101 Å, b = 9.469 Å, c = 5.165 Å
α = 90.00°, β = 90.00°, γ = 90.00°
Space group Pmmn (No. 59, origin choice 2)
Inequivalent atoms, fractional coordinates:
Pa 0.058 0.250 0.148
Pa 0.250 0.561 0.252
Tc 0.067 0.025 0.740
Tc 0.250 0.750 0.762
Ge 0.250 0.250 0.641

Computed properties:
DFT total energy: -191.49 eV for the cell shown
total moment: 0.000 Bohr magnetons per cell

=====

Compound: PmTa4Ru5
Source: Alexandria via LeMat-Bulk
Functional: PBE
Structure: relaxed

a = 3.158 Å, b = 3.158 Å, c = 17.183 Å
α = 90.00°, β = 90.00°, γ = 90.00°
Space group P4/mmm (No. 123)
Inequivalent atoms, fractional coordinates:
Pm 0.000 0.000 0.000
Ta 0.000 0.000 0.213
Ta 0.000 0.000 0.405
Ru 0.500 0.500 0.133
Ru 0.500 0.500 0.315
Ru 0.500 0.500 0.500

Computed properties:
DFT total energy: -101.97 eV for the cell shown
total moment: 0.000 Bohr magnetons per cell